A relaxed Cs2Ga2HgBr6 crystal, computed with PBE.

Values from the calculation:
**Mass density**: 3.3 Mg/m³
**Density of states at the Fermi level**: 0.00 states/eV/atom
**Calculated total energy**: -30.3 eV per formula unit
**Space-group type**: P-1, No. 2
**Formation energy (no corrections)**: -1.108 eV/atom

Lattice parameters (Å, degrees): 9.452 7.612 10.365 107.87 90.05 51.70
Sites, in units of the cell vectors:
Ga (0.272, 0.457, 0.659)
Br (0.150, 0.705, 0.521)
Cs (0.122, 0.756, 0.160)
Cs (0.878, 0.244, 0.840)
Br (0.617, 0.371, 0.176)
Hg (0.500, 0.000, 0.500)
Br (0.383, 0.629, 0.824)
Br (0.987, 0.631, 0.823)
Br (0.850, 0.295, 0.479)
Br (0.013, 0.369, 0.177)
Ga (0.728, 0.543, 0.341)